Record 1
Below is an optimized crystal structure of Pm3Ga5Cu6, with properties calculated at the PBE-GGA level.

```
14
Lattice="4.202 0.000 1.149 1.478 7.430 2.850 0.049 0.527 8.076" Properties=species:S:1:pos:R:3 pbc="T T T"
Pm 0.000 0.000 0.000
Pm 3.391 2.411 4.112
Pm 2.338 5.546 7.964
Ga 3.851 5.662 10.685
Ga 1.877 2.295 1.391
Ga 4.269 7.680 9.157
Ga 1.459 0.277 2.919
Ga 0.764 3.978 5.463
Cu 3.139 5.302 5.036
Cu 2.590 2.655 7.040
Cu 4.301 3.512 9.043
Cu 1.428 4.445 3.033
Cu 4.927 6.536 6.753
Cu 0.802 1.420 5.323
```

total moment: 0.000 μB/atom
space group: Immm
ΔH_f (0 K): -5.8 eV/f.u.
VASP energy: -59.8 eV per formula unit


Record 2
Below is an optimized crystal structure of PmGaCu, with properties calculated at the PBE-GGA level.

```
3
Lattice="-2.189 -2.158 2.076 3.330 -2.840 0.558 -0.570 3.319 2.850" Properties=species:S:1:pos:R:3 pbc="T T T"
Cu -0.365 -0.360 0.346
Ga 1.665 -1.147 1.668
Pm -0.729 -0.173 3.470
```

total moment: 0.001 μB/atom
space group: P-6m2
ΔH_f (0 K): -1.4 eV/f.u.
energy above the lowest structure with this stoichiometry: 25 meV/atom
VASP energy: -13.3 eV per formula unit


Record 3
Below is an optimized crystal structure of PmGa2Cu4, with properties calculated at the PBE-GGA level.

```
14
Lattice="-4.049 0.071 0.048 -0.022 -4.933 5.536 0.156 5.535 4.932" Properties=species:S:1:pos:R:3 pbc="T T T"
Cu 0.053 1.502 2.253
Cu 0.081 -0.899 8.215
Cu -1.936 2.590 3.756
Cu -1.980 -1.917 6.760
Cu -1.901 2.748 6.491
Cu -2.015 -2.074 4.025
Cu 0.007 -1.233 2.411
Cu 0.127 1.836 8.057
Ga 0.118 3.288 5.062
Ga 0.016 -2.686 5.407
Ga -1.929 0.466 7.505
Ga -1.986 0.208 3.011
Pm -2.025 0.036 0.024
Pm 0.067 0.301 5.234
```

total moment: 0.000 μB/atom
space group: P4_2/mnm
ΔH_f (0 K): -1.9 eV/f.u.
energy above the lowest structure with this stoichiometry: 0 meV/atom
VASP energy: -29.1 eV per formula unit


Record 4
Below is an optimized crystal structure of PmGa2Cu5, with properties calculated at the PBE-GGA level.

```
8
Lattice="3.892 0.000 0.000 1.946 5.887 0.439 1.946 1.513 5.706" Properties=species:S:1:pos:R:3 pbc="T T T"
Pm 0.000 0.000 0.000
Ga 5.839 5.562 4.619
Ga 1.946 1.838 1.526
Cu 1.946 3.700 3.072
Cu 3.892 3.507 1.299
Cu 3.892 3.893 4.846
Cu 3.892 5.479 2.936
Cu 3.892 1.921 3.208
```

total moment: 0.000 μB/atom
space group: Immm
ΔH_f (0 K): -1.7 eV/f.u.
VASP energy: -32.9 eV per formula unit


Record 5
Below is an optimized crystal structure of Pm2Ga6Cu3, with properties calculated at the PBE-GGA level.

```
11
Lattice="-0.170 -3.414 -2.213 4.684 3.106 -5.152 2.861 -3.944 5.865" Properties=species:S:1:pos:R:3 pbc="T T T"
Pm 4.076 0.756 -1.480
Pm 3.469 -1.594 2.192
Ga 5.084 -2.281 -0.618
Ga 0.816 -2.949 0.740
Ga 1.465 -0.163 0.138
Ga 3.775 2.503 -4.152
Ga 1.390 -0.729 -2.729
Ga 2.305 -3.179 4.726
Cu 2.658 -2.012 -0.847
Cu 2.896 0.270 -4.385
Cu 1.735 -4.217 2.626
```

total moment: 0.000 μB/atom
space group: P-62m
ΔH_f (0 K): -4.5 eV/f.u.
VASP energy: -44.5 eV per formula unit


Record 6
Below is an optimized crystal structure of Pm4Ga3Cu, with properties calculated at the PBE-GGA level.

```
8
Lattice="-0.371 -2.267 -3.739 -2.099 -3.068 2.068 -9.387 5.005 -2.103" Properties=species:S:1:pos:R:3 pbc="T T T"
Pm -4.514 -0.919 -1.570
Pm -9.183 2.803 -0.789
Pm -1.319 0.703 -0.296
Pm -6.241 2.095 -3.226
Ga -6.436 1.338 -0.173
Ga -3.997 2.131 -0.896
Ga -8.961 3.546 -3.836
Cu -1.836 -2.347 -0.970
```

total moment: 0.000 μB/atom
space group: Pmm2
ΔH_f (0 K): -3.7 eV/f.u.
energy above the lowest structure with this stoichiometry: 0 meV/atom
VASP energy: -35.9 eV per formula unit


Record 7
Below is an optimized crystal structure of Pm2Ga3Cu5, with properties calculated at the PBE-GGA level.

```
10
Lattice="-2.988 0.041 2.932 2.913 -0.434 2.975 0.805 10.064 0.680" Properties=species:S:1:pos:R:3 pbc="T T T"
Pm -1.302 2.427 1.628
Pm 2.069 7.441 2.005
Ga -0.976 6.503 1.904
Ga 1.743 3.365 1.730
Ga 0.402 5.032 0.340
Cu -0.038 -0.196 2.954
Cu 0.000 0.000 0.000
Cu -0.786 8.878 2.064
Cu 1.553 0.989 1.569
Cu 0.365 4.836 3.293
```

total moment: 0.000 μB/atom
space group: P-4m2
ΔH_f (0 K): -3.0 eV/f.u.
energy above the lowest structure with this stoichiometry: 49 meV/atom
VASP energy: -42.1 eV per formula unit


Record 8
Below is an optimized crystal structure of PmGa2Cu10, with properties calculated at the PBE-GGA level.

```
13
Lattice="-1.957 3.310 -3.078 -4.002 -2.858 -4.470 -5.650 2.362 2.191" Properties=species:S:1:pos:R:3 pbc="T T T"
Pm 0.000 0.000 0.000
Ga -2.001 -1.429 -2.235
Ga -2.979 0.226 -3.774
Cu -6.904 0.824 -2.607
Cu -4.704 1.991 -2.750
Cu -5.013 0.530 -0.183
Cu -6.595 2.284 -5.174
Cu -2.825 1.181 1.095
Cu -3.803 2.836 -0.444
Cu -2.695 0.822 -1.343
Cu -8.913 1.993 -4.014
Cu -5.368 -0.051 -4.524
Cu -6.241 2.866 -0.833
```

total moment: 0.000 μB/atom
space group: Fmmm
ΔH_f (0 K): -1.4 eV/f.u.
VASP energy: -53.2 eV per formula unit


Record 9
Below is an optimized crystal structure of Pm2Ga3Cu, with properties calculated at the PBE-GGA level.

```
12
Lattice="5.802 0.600 0.000 0.241 5.828 0.000 -3.022 -3.214 7.641" Properties=species:S:1:pos:R:3 pbc="T T T"
Pm 2.901 0.300 3.821
Pm 4.372 1.945 0.000
Pm 0.121 2.914 3.821
Pm 1.672 4.483 0.000
Ga 4.522 4.810 1.297
Ga 1.500 1.596 6.344
Ga -1.500 -1.596 6.344
Ga 1.521 1.618 1.297
Ga 0.000 0.000 2.573
Ga 3.022 3.214 5.069
Cu 3.022 3.214 2.562
Cu 0.000 0.000 5.079
```

total moment: 0.000 μB/atom
space group: Fmmm
ΔH_f (0 K): -3.5 eV/f.u.
VASP energy: -26.2 eV per formula unit


Record 10
Below is an optimized crystal structure of Pm3Ga7Cu2, with properties calculated at the PBE-GGA level.

```
12
Lattice="4.275 0.000 0.000 0.000 4.265 0.001 0.000 -2.120 13.152" Properties=species:S:1:pos:R:3 pbc="T T T"
Pm 2.137 2.132 0.001
Pm 0.000 0.004 4.831
Pm 0.000 2.140 8.322
Ga 2.137 2.139 5.899
Ga 2.137 0.006 7.254
Ga 0.000 2.129 2.242
Ga 0.000 0.000 0.000
Ga 0.000 0.016 10.911
Ga 2.137 2.142 10.906
Ga 2.137 0.003 2.247
Cu 2.137 2.137 3.478
Cu 2.137 0.008 9.675
```

total moment: 0.000 μB/atom
space group: P2/m
ΔH_f (0 K): -6.3 eV/f.u.
VASP energy: -49.9 eV per formula unit


Record 11
Below is an optimized crystal structure of PmGa2Cu9, with properties calculated at the PBE-GGA level.

```
24
Lattice="6.027 0.000 2.775 3.013 7.194 1.387 0.005 0.000 7.922" Properties=species:S:1:pos:R:3 pbc="T T T"
Pm 3.013 0.000 1.387
Pm 3.016 3.597 5.348
Ga 6.031 1.798 8.716
Ga 7.535 5.395 5.449
Ga 6.028 1.798 4.755
Ga 4.524 5.395 8.022
Cu 6.029 3.597 6.736
Cu 0.000 0.000 0.000
Cu 2.846 6.574 6.609
Cu 3.863 0.620 4.400
Cu 4.602 1.216 6.761
Cu 5.120 5.978 5.634
Cu 6.938 5.978 7.837
Cu 1.430 1.216 3.935
Cu 3.186 6.574 4.088
Cu 2.169 0.620 6.297
Cu 6.202 4.217 9.436
Cu 2.167 2.977 2.336
Cu 1.433 2.381 7.896
Cu 3.922 4.813 2.489
Cu 2.110 4.813 8.208
Cu 4.599 2.381 2.800
Cu 5.857 4.217 4.035
Cu 3.865 2.977 8.360
```

total moment: 0.000 μB/atom
space group: I4_1/amd
ΔH_f (0 K): -2.0 eV/f.u.
energy above the lowest structure with this stoichiometry: 0 meV/atom
VASP energy: -49.6 eV per formula unit


Record 12
Below is an optimized crystal structure of Pm2Ga3Cu5, with properties calculated at the PBE-GGA level.

```
20
Lattice="-4.307 3.751 1.410 -2.406 -1.086 7.886 3.109 7.418 2.113" Properties=species:S:1:pos:R:3 pbc="T T T"
Pm -1.308 4.584 8.466
Pm -1.530 1.484 3.690
Pm -2.296 5.499 2.942
Pm -2.074 8.599 7.719
Ga 0.475 3.982 3.202
Ga -0.466 6.475 5.975
Ga -4.079 6.101 8.207
Ga -3.138 3.608 5.434
Ga 2.031 8.354 2.467
Ga -5.635 1.729 8.942
Cu -0.777 3.248 1.260
Cu 0.629 6.967 8.081
Cu -2.827 6.835 10.149
Cu -4.233 3.116 3.328
Cu 0.741 6.365 3.817
Cu -4.345 3.718 7.592
Cu -0.728 4.100 5.355
Cu -2.876 5.983 6.054
Cu -2.191 1.843 6.886
Cu -1.413 8.239 4.522
```

total moment: 0.000 μB/atom
space group: C2/c
ΔH_f (0 K): -3.5 eV/f.u.
energy above the lowest structure with this stoichiometry: 0 meV/atom
VASP energy: -42.6 eV per formula unit


Question: Which value of total moment does entry 1 give?
Answer: 0.000 μB/atom